# Pr3ZrPa2P6

An optimized crystal structure of Pr3ZrPa2P6 (PBE-GGA, Alexandria).

The structure in POSCAR format:
```
Pr3ZrPa2P6
1.0
3.483 -6.033 0.000
3.483 6.033 0.000
-2.318 0.000 6.656
Pr Zr Pa P
3 1 2 6
Direct
0.000 0.000 0.000
0.333 0.667 0.000
0.667 0.333 0.000
0.500 0.500 0.500
0.166 0.834 0.500
0.834 0.166 0.500
0.095 0.425 0.274
0.247 0.247 0.729
0.425 0.095 0.274
0.575 0.905 0.726
0.753 0.753 0.271
0.905 0.575 0.726
```

Values from the calculation:
Total energy ... -91.42 eV/f.u.
Space-group type ... C2/m (12)
Total moment ... 0.00 μB per atom
Energy of formation ... -32.83 kcal/mol of atoms
V ... 279.7 Å³/f.u.